The following is a PBE-GGA calculation of crystalline ScTlMoC2 at its relaxed geometry, from the Alexandria database.

The density of states at the Fermi level comes out at 0.985 states/eV per atom. The electronic total energy is -4.587 eV per atom. The value obtained for the formation energy is 3.008 eV/atom. The value obtained for the magnetization is 1.762 μB/f.u.

The structure belongs to space group P4/mmm (No. 123); the cell edges are 4.319, 4.319 and 5.441 Å and the angles 90.00°, 90.00° and 90.00°. The distinct sites, in fractional coordinates, are Sc at (0.000, 0.000, 0.000), Tl at (0.000, 0.000, 0.500), Mo at (0.500, 0.500, 0.000) and C at (0.000, 0.500, 0.500).